[1]
# CaCd2Mo | the Alexandria database | PBE-GGA | optimized geometry
# - Energy above the lowest structure with this stoichiometry: 22 kJ/mol of formula units
# - VASP energy: -3.316 eV per atom
# - DFT formation energy: 0.350 eV/atom
data_CaCd2Mo
_chemical_formula_sum 'Ca1 Cd2 Mo1'
_cell_length_a 3.169
_cell_length_b 5.108
_cell_length_c 5.187
_cell_angle_alpha 90.00
_cell_angle_beta 90.00
_cell_angle_gamma 90.00
_space_group_name_H-M_alt 'P m m 2'
_space_group_IT_number 25
loop_
_space_group_symop_operation_xyz
'x,y,z'
'-x,-y,z'
'-x,y,z'
'x,-y,z'
loop_
_atom_site_label
_atom_site_type_symbol
_atom_site_fract_x
_atom_site_fract_y
_atom_site_fract_z
_atom_site_occupancy
Ca1 Ca 0.000 0.000 0.000 1
Cd1 Cd 0.500 0.000 0.490 1
Cd2 Cd 0.500 0.500 0.911 1
Mo1 Mo 0.000 0.500 0.427 1

[2]
# Mn2TlIn | the Alexandria database | PBE-GGA | optimized geometry
# - Energy above the lowest structure with this stoichiometry: 28 kJ/mol of formula units
# - VASP energy: -5.396 eV per atom
# - DFT formation energy: 0.465 eV/atom
data_Mn2TlIn
_chemical_formula_sum 'Mn6 Tl3 In3'
_cell_length_a 3.2374
_cell_length_b 3.2374
_cell_length_c 26.9718
_cell_angle_alpha 90.00
_cell_angle_beta 90.00
_cell_angle_gamma 120.00
_space_group_name_H-M_alt 'R -3 m'
_space_group_IT_number 166
_space_group_name_Hall '-R 3 2"'
loop_
_atom_site_label
_atom_site_type_symbol
_atom_site_fract_x
_atom_site_fract_y
_atom_site_fract_z
_atom_site_occupancy
Mn1 Mn 0.0000 0.0000 0.2481 1
Tl1 Tl 0.0000 0.0000 0.0000 1
In1 In 0.0000 0.0000 0.5000 1

[3]
# Sr2Ac3Sn2 | the Alexandria database | PBE-GGA | optimized geometry
# - VASP energy: -3.779 eV per atom
# - DFT formation energy: -0.394 eV/atom
data_Sr2Ac3Sn2
_chemical_formula_sum 'Sr4 Ac6 Sn4'
_cell_length_a 13.602
_cell_length_b 4.831
_cell_length_c 9.495
_cell_angle_alpha 90.00
_cell_angle_beta 110.51
_cell_angle_gamma 90.00
_space_group_name_H-M_alt 'C 1 2/m 1'
_space_group_IT_number 12
loop_
_space_group_symop_operation_xyz
'x,y,z'
'-x,-y,-z'
'-x,y,-z'
'x,-y,z'
'x+1/2,y+1/2,z'
'-x+1/2,-y+1/2,-z'
'-x+1/2,y+1/2,-z'
'x+1/2,-y+1/2,z'
loop_
_atom_site_label
_atom_site_type_symbol
_atom_site_fract_x
_atom_site_fract_y
_atom_site_fract_z
_atom_site_occupancy
Sr1 Sr 0.152 0.000 0.305 1
Ac1 Ac 0.000 0.500 0.500 1
Ac2 Ac 0.130 0.500 0.938 1
Sn1 Sn 0.168 0.000 0.703 1